No. 1
# Ho2Lu2B3C4

Ho2Lu2B3C4 after structural relaxation (PBE, OQMD).

Structure (CIF):
```
data_Ho2Lu2B3C4
_symmetry_space_group_name_H-M 'P 1'
_symmetry_Int_Tables_number 1
_symmetry_space_group_name_Hall 'P 1'
_cell_length_a 3.443
_cell_length_b 3.543
_cell_length_c 11.827
_cell_angle_alpha 92.39
_cell_angle_beta 96.81
_cell_angle_gamma 90.12
loop_
_atom_site_label
_atom_site_type_symbol
_atom_site_fract_x
_atom_site_fract_y
_atom_site_fract_z
Ho1 Ho 0.103 0.452 0.141
Ho2 Ho 0.897 0.548 0.859
Lu1 Lu 0.307 0.022 0.650
Lu2 Lu 0.693 0.978 0.350
B1 B 0.240 0.493 0.460
B2 B 0.500 0.000 0.000
B3 B 0.760 0.507 0.540
C1 C 0.186 0.475 0.332
C2 C 0.402 0.055 0.877
C3 C 0.598 0.945 0.123
C4 C 0.814 0.525 0.668
```

Summary:
V = 143.1 Å³ per cell
total DFT energy (no corrections) = -7.318 eV/atom
energy above the most stable polymorph in this dataset = 23.1 kJ/mol of formula units
size of the total moment = 0.00 μB per cell

---

No. 2
# DyY2Fe6Co3

DyY2Fe6Co3 after structural relaxation (PBE, OQMD).

Structure (CIF):
```
data_DyY2Fe6Co3
_symmetry_space_group_name_H-M 'P 1'
_symmetry_Int_Tables_number 1
_symmetry_space_group_name_Hall 'P 1'
_cell_length_a 8.625
_cell_length_b 8.625
_cell_length_c 8.625
_cell_angle_alpha 34.05
_cell_angle_beta 34.05
_cell_angle_gamma 34.05
loop_
_atom_site_label
_atom_site_type_symbol
_atom_site_fract_x
_atom_site_fract_y
_atom_site_fract_z
Dy1 Dy 0.000 0.000 0.000
Y1 Y 0.142 0.142 0.142
Y2 Y 0.858 0.858 0.858
Fe1 Fe 0.082 0.581 0.581
Fe2 Fe 0.419 0.419 0.918
Fe3 Fe 0.419 0.918 0.419
Fe4 Fe 0.581 0.082 0.581
Fe5 Fe 0.581 0.581 0.082
Fe6 Fe 0.918 0.419 0.419
Co1 Co 0.332 0.332 0.332
Co2 Co 0.500 0.500 0.500
Co3 Co 0.668 0.668 0.668
```

Summary:
V = 179.3 Å³ per cell
total DFT energy (no corrections) = -7.500 eV/atom
formation enthalpy at 0 K = -0.108 eV per atom
size of the total moment = 16.13 μB per cell

---

No. 3
# NdPaAsO

NdPaAsO after structural relaxation (PBE, OQMD).

Structure (CIF):
```
data_NdPaAsO
_symmetry_space_group_name_H-M 'P 1'
_symmetry_Int_Tables_number 1
_symmetry_space_group_name_Hall 'P 1'
_cell_length_a 4.250
_cell_length_b 4.250
_cell_length_c 9.414
_cell_angle_alpha 90.00
_cell_angle_beta 90.00
_cell_angle_gamma 90.00
loop_
_atom_site_label
_atom_site_type_symbol
_atom_site_fract_x
_atom_site_fract_y
_atom_site_fract_z
Nd1 Nd 0.250 0.750 0.000
Nd2 Nd 0.750 0.250 0.000
Pa1 Pa 0.250 0.250 0.374
Pa2 Pa 0.750 0.750 0.626
As1 As 0.250 0.250 0.768
As2 As 0.750 0.750 0.232
O1 O 0.250 0.750 0.500
O2 O 0.750 0.250 0.500
```

Summary:
V = 170.0 Å³ per cell
total DFT energy (no corrections) = -7.237 eV/atom
energy above the most stable polymorph in this dataset = 2.5 kJ/mol of formula units
size of the total moment = 2.01 μB per cell

---

No. 4
# Cs5Sb2Pt

Cs5Sb2Pt after structural relaxation (PBE, OQMD).

Structure (CIF):
```
data_Cs5Sb2Pt
_symmetry_space_group_name_H-M 'P 1'
_symmetry_Int_Tables_number 1
_symmetry_space_group_name_Hall 'P 1'
_cell_length_a 10.655
_cell_length_b 10.655
_cell_length_c 10.655
_cell_angle_alpha 35.21
_cell_angle_beta 35.21
_cell_angle_gamma 35.21
loop_
_atom_site_label
_atom_site_type_symbol
_atom_site_fract_x
_atom_site_fract_y
_atom_site_fract_z
Cs1 Cs 0.000 0.000 0.000
Cs2 Cs 0.139 0.139 0.139
Cs3 Cs 0.280 0.280 0.280
Cs4 Cs 0.720 0.720 0.720
Cs5 Cs 0.861 0.861 0.861
Sb1 Sb 0.413 0.413 0.413
Sb2 Sb 0.587 0.587 0.587
Pt1 Pt 0.500 0.500 0.500
```

Summary:
V = 359.3 Å³ per cell
total DFT energy (no corrections) = -2.691 eV/atom
size of the total moment = 0.79 μB per cell